Entry from Alexandria via LeMat-Bulk: crystalline Sm2HoIn at its relaxed geometry (PBE).

Geometry as CIF:
```
data_Sm2HoIn
_chemical_formula_sum 'Sm6 Ho3 In3'
_cell_length_a 3.6513
_cell_length_b 3.6513
_cell_length_c 32.7693
_cell_angle_alpha 90.00
_cell_angle_beta 90.00
_cell_angle_gamma 120.00
_symmetry_space_group_name_H-M 'R 3 m'
_symmetry_Int_Tables_number 160
_symmetry_space_group_name_Hall 'R 3 -2"'
loop_
_atom_site_label
_atom_site_type_symbol
_atom_site_fract_x
_atom_site_fract_y
_atom_site_fract_z
_atom_site_occupancy
Sm1 Sm 0.0000 0.0000 0.0000 1
Sm2 Sm 0.0000 0.0000 0.1760 1
Ho1 Ho 0.0000 0.0000 0.4214 1
In1 In 0.0000 0.0000 0.5877 1
```

Calculated values
**Formation energy**: -0.126 eV per atom
**Size of the total moment**: 0.120 μB/atom
**ΔE to the lowest computed polymorph**: 141 meV per atom
**Electronic total energy**: -51.8 eV/cell

Entry from Alexandria via LeMat-Bulk: crystalline TcAg2Br at its relaxed geometry (PBE).

Geometry as CIF:
```
data_TcAg2Br
_chemical_formula_sum 'Tc1 Ag2 Br1'
_cell_length_a 2.8186
_cell_length_b 2.8186
_cell_length_c 9.9285
_cell_angle_alpha 90.00
_cell_angle_beta 90.00
_cell_angle_gamma 90.00
_symmetry_space_group_name_H-M 'P 4/m m m'
_symmetry_Int_Tables_number 123
_symmetry_space_group_name_Hall '-P 4 2'
loop_
_atom_site_label
_atom_site_type_symbol
_atom_site_fract_x
_atom_site_fract_y
_atom_site_fract_z
_atom_site_occupancy
Tc1 Tc 0.0000 0.0000 0.0000 1
Ag1 Ag 0.5000 0.5000 0.2122 1
Br1 Br 0.0000 0.0000 0.5000 1
```

Calculated values
**Size of the total moment**: 0.003 μB/atom
**E_form (uncorrected)**: 0.612 eV per atom
**ΔE to the lowest computed polymorph**: 198 meV per atom
**Electronic total energy**: -15.3 eV/cell

Copy entry 1 word for word.
Entry from Alexandria via LeMat-Bulk: crystalline Sm2HoIn at its relaxed geometry (PBE).

Geometry as CIF:
```
data_Sm2HoIn
_chemical_formula_sum 'Sm6 Ho3 In3'
_cell_length_a 3.6513
_cell_length_b 3.6513
_cell_length_c 32.7693
_cell_angle_alpha 90.00
_cell_angle_beta 90.00
_cell_angle_gamma 120.00
_symmetry_space_group_name_H-M 'R 3 m'
_symmetry_Int_Tables_number 160
_symmetry_space_group_name_Hall 'R 3 -2"'
loop_
_atom_site_label
_atom_site_type_symbol
_atom_site_fract_x
_atom_site_fract_y
_atom_site_fract_z
_atom_site_occupancy
Sm1 Sm 0.0000 0.0000 0.0000 1
Sm2 Sm 0.0000 0.0000 0.1760 1
Ho1 Ho 0.0000 0.0000 0.4214 1
In1 In 0.0000 0.0000 0.5877 1
```

Calculated values
**Formation energy**: -0.126 eV per atom
**Size of the total moment**: 0.120 μB/atom
**ΔE to the lowest computed polymorph**: 141 meV per atom
**Electronic total energy**: -51.8 eV/cell

Please write out number 2 again, unchanged.
Entry from Alexandria via LeMat-Bulk: crystalline TcAg2Br at its relaxed geometry (PBE).

Geometry as CIF:
```
data_TcAg2Br
_chemical_formula_sum 'Tc1 Ag2 Br1'
_cell_length_a 2.8186
_cell_length_b 2.8186
_cell_length_c 9.9285
_cell_angle_alpha 90.00
_cell_angle_beta 90.00
_cell_angle_gamma 90.00
_symmetry_space_group_name_H-M 'P 4/m m m'
_symmetry_Int_Tables_number 123
_symmetry_space_group_name_Hall '-P 4 2'
loop_
_atom_site_label
_atom_site_type_symbol
_atom_site_fract_x
_atom_site_fract_y
_atom_site_fract_z
_atom_site_occupancy
Tc1 Tc 0.0000 0.0000 0.0000 1
Ag1 Ag 0.5000 0.5000 0.2122 1
Br1 Br 0.0000 0.0000 0.5000 1
```

Calculated values
**Size of the total moment**: 0.003 μB/atom
**E_form (uncorrected)**: 0.612 eV per atom
**ΔE to the lowest computed polymorph**: 198 meV per atom
**Electronic total energy**: -15.3 eV/cell